Ta2VSnB | GGA-PBE | optimized geometry

Summary:
DFT formation energy, meV/atom: 1847
V, Å³ per cell: 106
Magnetic moment, μB per formula unit: 0.00
Symmetry: P4/mmm

a b c (Å): 4.624 4.944 4.624
angles (deg): 90.00 90.00 90.00
Sites, in units of the cell vectors:
1 B 0.500 0.500 0.500
2 V 0.000 0.000 0.000
3 Sn 0.000 0.500 0.000
4 Ta 0.000 0.000 0.500
5 Ta 0.500 0.000 0.000